! Pm2NdGe (PBE, optimized geometry); values from VASP
! Energy relative to the elements = -314 meV per atom
! D(E_F) = 1.337 states/eV per atom
! Total magnetization = 0.000 μB/atom
! Distance to the lowest polymorph of the same formula = 47 meV/atom
! Total energy = -5.04 eV per atom
&SYSTEM
  ibrav = 0, nat = 4, ntyp = 3
/
ATOMIC_SPECIES
Ge 72.64 Ge.upf
Nd 144.24 Nd.upf
Pm 145.00 Pm.upf
CELL_PARAMETERS angstrom
-1.3583 -2.1843 -3.0179
0.2814 -3.2632 2.2352
-6.8704 1.0200 2.3541
ATOMIC_POSITIONS crystal
Ge 0.5000 0.5000 0.5000
Nd 0.5000 0.5000 0.0000
Pm 0.0000 0.0000 0.7020
Pm 0.0000 0.0000 0.2980

***

! Pm5NdGe3 (PBE, optimized geometry); values from VASP
! Energy relative to the elements = -526 meV per atom
! D(E_F) = 1.012 states/eV per atom
! Total magnetization = 0.255 μB/atom
! Total energy = -5.23 eV per atom
&SYSTEM
  ibrav = 0, nat = 18, ntyp = 3
/
ATOMIC_SPECIES
Pm 145.00 Pm.upf
Nd 144.24 Nd.upf
Ge 72.64 Ge.upf
CELL_PARAMETERS angstrom
6.5426 0.0000 0.0000
0.0000 9.1876 0.0000
0.0000 -4.5938 7.9563
ATOMIC_POSITIONS crystal
Pm 0.0000 0.6667 0.3333
Pm 0.5000 0.3333 0.6667
Pm 0.0000 0.3333 0.6667
Pm 0.5000 0.6667 0.3333
Pm 0.7500 0.6668 0.6668
Pm 0.7500 0.0000 0.3332
Pm 0.7500 0.3332 0.0000
Pm 0.2500 0.3332 0.3332
Pm 0.2500 0.0000 0.6668
Pm 0.2500 0.6668 0.0000
Nd 0.0000 0.0000 0.0000
Nd 0.5000 0.0000 0.0000
Ge 0.7500 0.3343 0.3343
Ge 0.7500 0.0000 0.6657
Ge 0.7500 0.6656 0.0000
Ge 0.2500 0.6657 0.6657
Ge 0.2500 0.0000 0.3343
Ge 0.2500 0.3344 0.0000

***

! Pm2NdGe (PBE, optimized geometry); values from VASP
! Energy relative to the elements = -361 meV per atom
! D(E_F) = 1.043 states/eV per atom
! Total magnetization = 0.000 μB/atom
! Distance to the lowest polymorph of the same formula = 0 meV/atom
! Total energy = -5.08 eV per atom
&SYSTEM
  ibrav = 0, nat = 16, ntyp = 3
/
ATOMIC_SPECIES
Pm 145.00 Pm.upf
Nd 144.24 Nd.upf
Ge 72.64 Ge.upf
CELL_PARAMETERS angstrom
-5.2212 2.0721 3.0556
-4.2994 -0.0366 -7.3217
-0.4236 -8.7644 5.2195
ATOMIC_POSITIONS crystal
Pm 0.7499 0.0564 0.1127
Pm 0.2499 0.4436 0.8873
Pm 0.2501 0.9436 0.8873
Pm 0.7501 0.5564 0.1127
Pm 0.7500 0.6402 0.7806
Pm 0.2500 0.8599 0.2194
Pm 0.2500 0.3598 0.2194
Pm 0.7500 0.1401 0.7806
Nd 0.4999 0.2500 0.4999
Nd 0.9999 0.2500 0.5001
Nd 0.5001 0.7500 0.5001
Nd 0.0001 0.7500 0.4999
Ge 0.7500 0.4186 0.3371
Ge 0.2500 0.0814 0.6629
Ge 0.2500 0.5814 0.6629
Ge 0.7500 0.9186 0.3371